Model 1:
Entry from Alexandria: crystalline Te2RuIN at its relaxed geometry (GGA-PBEsol).

Lattice parameters (Å, degrees): 5.530 5.530 3.643 90.00 90.00 90.00
Atoms (fractional coordinates):
Te (0.000, 0.500, 0.000)
Te (0.500, 0.000, 0.000)
Ru (0.000, 0.000, 0.000)
I (0.500, 0.500, 0.500)
N (0.000, 0.000, 0.500)

Values from the calculation:
- total magnetization (μB per formula unit) = 0.00
- symmetry = No. 123
- D(E_F) (states/eV per atom) = 0.7206

Model 2:
Entry from Alexandria: crystalline Te2RuIN at its relaxed geometry (GGA-PBEsol).

Lattice parameters (Å, degrees): 5.017 5.017 5.721 90.00 90.00 90.00
Atoms (fractional coordinates):
Te (0.000, 0.500, 0.000)
Te (0.500, 0.000, 0.000)
Ru (0.000, 0.000, 0.000)
I (0.000, 0.000, 0.500)
N (0.500, 0.500, 0.500)

Values from the calculation:
- total magnetization (μB per formula unit) = 2.93
- symmetry = No. 123
- D(E_F) (states/eV per atom) = 0.6874

Stability verdict: model 1, ahead by 1070 meV/atom

Model 1:
Entry from Alexandria: crystalline TiSIN2 at its relaxed geometry (GGA-PBEsol).

Lattice parameters (Å, degrees): 3.841 3.841 6.096 90.00 90.00 90.00
Atoms (fractional coordinates):
Ti (0.000, 0.000, 0.000)
S (0.500, 0.500, 0.500)
I (0.000, 0.000, 0.500)
N (0.000, 0.500, 0.000)
N (0.500, 0.000, 0.000)

Values from the calculation:
- total magnetization (μB per formula unit) = 0.00
- symmetry = No. 123
- D(E_F) (states/eV per atom) = 0.7349

Model 2:
Entry from Alexandria: crystalline TiSIN2 at its relaxed geometry (GGA-PBEsol).

Lattice parameters (Å, degrees): 3.685 3.685 5.960 90.00 90.00 90.00
Atoms (fractional coordinates):
Ti (0.000, 0.000, 0.000)
S (0.500, 0.500, 0.500)
I (0.500, 0.500, 0.000)
N (0.000, 0.500, 0.500)
N (0.500, 0.000, 0.500)

Values from the calculation:
- total magnetization (μB per formula unit) = 1.16
- symmetry = No. 123
- D(E_F) (states/eV per atom) = 0.9085

Stability verdict: model 1, ahead by 931 meV/atom